Entry 1:
VASP calculation (PBE) on a relaxed structure of Ce6AsRu3.

Cell lengths 4.037, 11.234, 11.760 Å; angles 107.05, 90.00, 90.00 degrees
Element x y z (fractional)
Ru (0.750, 0.455, 0.835)
Ru (0.250, 0.843, 0.915)
Ru (0.750, 0.681, 0.496)
Ru (0.250, 0.319, 0.504)
Ru (0.250, 0.545, 0.165)
Ru (0.750, 0.157, 0.085)
Ce (0.750, 0.129, 0.464)
Ce (0.250, 0.609, 0.944)
Ce (0.750, 0.391, 0.056)
Ce (0.750, 0.791, 0.760)
Ce (0.750, 0.730, 0.264)
Ce (0.250, 0.085, 0.902)
Ce (0.250, 0.270, 0.736)
Ce (0.250, 0.871, 0.536)
Ce (0.250, 0.209, 0.240)
Ce (0.750, 0.915, 0.098)
Ce (0.750, 0.474, 0.612)
Ce (0.250, 0.526, 0.388)
As (0.750, 0.048, 0.694)
As (0.250, 0.952, 0.306)

Values from the calculation:
* symmetry: No. 11
* energy of formation from the pure elements: -0.44 eV per atom

Entry 2:
VASP calculation (PBE) on a relaxed structure of K2CdCoBr6.

Cell lengths 7.627, 7.626, 7.440 Å; angles 59.20, 59.22, 59.98 degrees
Element x y z (fractional)
Br (0.552, 0.147, 0.296)
Br (0.081, 0.486, 0.807)
Br (0.005, 0.554, 0.294)
Br (0.487, 0.626, 0.808)
Br (0.146, 0.006, 0.295)
Br (0.627, 0.078, 0.809)
Co (0.316, 0.316, 0.051)
K (0.070, 0.070, 0.790)
K (0.562, 0.562, 0.314)
Cd (0.816, 0.816, 0.551)

Values from the calculation:
* symmetry: No. 2
* uncorrected formation energy: -0.98 eV per atom

Entry 3:
VASP calculation (PBE) on a relaxed structure of K3Np3BeSe8.

Cell lengths 8.201, 8.202, 9.141 Å; angles 116.67, 90.00, 120.00 degrees
Element x y z (fractional)
Se (0.217, 0.969, 0.685)
Se (0.248, 0.031, 0.315)
Se (0.783, 0.031, 0.315)
Se (0.783, 0.567, 0.315)
Se (0.736, 0.471, 0.707)
Se (0.217, 0.433, 0.685)
Se (0.264, 0.529, 0.293)
Se (0.752, 0.969, 0.685)
K (0.000, 0.500, 0.000)
K (0.500, 0.500, 0.000)
K (0.000, 0.000, 0.000)
Np (0.500, 0.500, 0.500)
Np (0.000, 0.500, 0.500)
Np (0.500, 0.000, 0.500)
Be (0.000, 0.000, 0.500)

Values from the calculation:
* symmetry: No. 166
* uncorrected formation energy: -1.04 eV per atom

Entry 4:
VASP calculation (PBE) on a relaxed structure of Dy2ErTl2Ag2.

Cell lengths 4.900, 4.900, 8.997 Å; angles 74.20, 74.20, 60.00 degrees
Element x y z (fractional)
Ag (0.430, 0.430, 0.709)
Ag (0.570, 0.570, 0.291)
Dy (0.132, 0.132, 0.604)
Dy (0.868, 0.868, 0.396)
Tl (0.733, 0.733, 0.800)
Tl (0.267, 0.267, 0.200)
Er (0.000, 0.000, 0.000)

Values from the calculation:
* symmetry: No. 166
* energy of formation from the pure elements: -0.13 eV per atom

| no. | VASP energy (eV/cell) |
| --- | --- |
| 1 | -144.88 |
| 2 | -30.08 |
| 3 | -89.33 |
| 4 | -25.09 |